# 1
First-principles (GGA-PBE) data for Li4YLu after structural relaxation, as listed in Alexandria via LeMat-Bulk.

Summary:
Crystal system: cubic
Density of states at the Fermi level, states/eV/atom: 0.853
Total energy, eV/atom: -2.990

Lattice parameters (Å, degrees): 8.225 8.225 8.225 90.00 90.00 90.00
Space group F-43m (No. 216)
Asymmetric unit:
1 Li 0.125 0.125 0.125 (multiplicity 16)
2 Y 0.000 0.000 0.500 (multiplicity 4)
3 Lu 0.250 0.250 0.750 (multiplicity 4)

# 2
First-principles (GGA-PBE) data for LiLu2Zn after structural relaxation, as listed in Alexandria via LeMat-Bulk.

Summary:
Crystal system: cubic
Excess energy over the best structure of this formula in the dataset, meV/atom: 9
Density of states at the Fermi level, states/eV/atom: 1.182
Total energy, eV/atom: -3.172

Lattice parameters (Å, degrees): 7.072 7.072 7.072 90.00 90.00 90.00
Space group Fm-3m (No. 225)
Asymmetric unit:
1 Li 0.000 0.000 0.000 (multiplicity 4)
2 Lu 0.250 0.250 0.250 (multiplicity 8)
3 Zn 0.000 0.000 0.500 (multiplicity 4)

# 3
First-principles (GGA-PBE) data for LiLu2Zn after structural relaxation, as listed in Alexandria via LeMat-Bulk.

Summary:
Crystal system: trigonal
Excess energy over the best structure of this formula in the dataset, meV/atom: 234
Density of states at the Fermi level, states/eV/atom: 0.989
Total energy, eV/atom: -2.946

Lattice parameters (Å, degrees): 3.3561 3.3561 32.2779 90.00 90.00 120.00
Space group R-3m (No. 166, hexagonal axes)
Asymmetric unit:
1 Li 0.0000 0.0000 0.0000 (multiplicity 3)
2 Lu 0.0000 0.0000 0.0973 (multiplicity 6)
3 Zn 0.0000 0.0000 0.5000 (multiplicity 3)

# 4
First-principles (GGA-PBE) data for Li2LuZn after structural relaxation, as listed in Alexandria via LeMat-Bulk.

Summary:
Crystal system: tetragonal
Excess energy over the best structure of this formula in the dataset, meV/atom: 0
Density of states at the Fermi level, states/eV/atom: 0.673
Total energy, eV/atom: -2.381

Lattice parameters (Å, degrees): 3.421 3.421 6.662 90.00 90.00 90.00
Space group P4/mmm (No. 123)
Asymmetric unit:
1 Li 0.000 0.000 0.196 (multiplicity 2)
2 Lu 0.500 0.500 0.500 (multiplicity 1)
3 Zn 0.500 0.500 0.000 (multiplicity 1)

# 5
First-principles (GGA-PBE) data for Li2LuZn after structural relaxation, as listed in Alexandria via LeMat-Bulk.

Summary:
Crystal system: trigonal
Excess energy over the best structure of this formula in the dataset, meV/atom: 153
Density of states at the Fermi level, states/eV/atom: 0.621
Total energy, eV/atom: -2.228

Lattice parameters (Å, degrees): 3.1131 3.1131 31.2171 90.00 90.00 120.00
Space group R-3m (No. 166, hexagonal axes)
Asymmetric unit:
1 Li 0.0000 0.0000 0.0976 (multiplicity 6)
2 Lu 0.0000 0.0000 0.0000 (multiplicity 3)
3 Zn 0.0000 0.0000 0.5000 (multiplicity 3)

# 6
First-principles (GGA-PBE) data for LiLuZn after structural relaxation, as listed in Alexandria via LeMat-Bulk.

Summary:
Crystal system: trigonal
Density of states at the Fermi level, states/eV/atom: 0.663
Total energy, eV/atom: -2.665

Lattice parameters (Å, degrees): 4.6921 4.6921 3.1400 90.00 90.00 120.00
Space group P3m1 (No. 156)
Asymmetric unit:
1 Li 0.0000 0.0000 0.0000 (multiplicity 1)
2 Lu 0.6667 0.3333 0.5023 (multiplicity 1)
3 Zn 0.3333 0.6667 0.0035 (multiplicity 1)

# 7
First-principles (GGA-PBE) data for LiLuZn after structural relaxation, as listed in Alexandria via LeMat-Bulk.

Summary:
Crystal system: tetragonal
Density of states at the Fermi level, states/eV/atom: 0.476
Total energy, eV/atom: -2.665

Lattice parameters (Å, degrees): 3.571 3.571 9.431 90.00 90.00 90.00
Space group I4mm (No. 107)
Asymmetric unit:
1 Li 0.000 0.000 0.000 (multiplicity 2)
2 Lu 0.000 0.000 0.307 (multiplicity 2)
3 Zn 0.000 0.000 0.636 (multiplicity 2)

# 8
First-principles (GGA-PBE) data for LiLuZn4 after structural relaxation, as listed in Alexandria via LeMat-Bulk.

Summary:
Crystal system: cubic
Density of states at the Fermi level, states/eV/atom: 0.490
Total energy, eV/atom: -2.154

Lattice parameters (Å, degrees): 7.453 7.453 7.453 90.00 90.00 90.00
Space group F-43m (No. 216)
Asymmetric unit:
1 Li 0.000 0.000 0.000 (multiplicity 4)
2 Lu 0.250 0.250 0.250 (multiplicity 4)
3 Zn 0.125 0.125 0.625 (multiplicity 16)